A:
# YZrI2 PBE relaxed
# Mass density ... 5.6 g/cm³
# N(E_F) ... 7.2 states/eV/cell
# Spin magnetization ... 0.207 μB per atom
data_YZrI2
_symmetry_space_group_name_H-M 'P 1'
_symmetry_Int_Tables_number 1
_symmetry_space_group_name_Hall 'P 1'
_cell_length_a 10.445
_cell_length_b 10.445
_cell_length_c 10.445
_cell_angle_alpha 151.51
_cell_angle_beta 151.51
_cell_angle_gamma 40.73
loop_
_atom_site_label
_atom_site_type_symbol
_atom_site_fract_x
_atom_site_fract_y
_atom_site_fract_z
Y1 Y 0.000 0.000 0.000
Y2 Y 0.750 0.250 0.500
Zr1 Zr 0.250 0.750 0.500
Zr2 Zr 0.500 0.500 0.000
I1 I 0.138 0.625 0.013
I2 I 0.375 0.388 0.513
I3 I 0.612 0.125 0.987
I4 I 0.875 0.862 0.487

---

B:
# YZrI2 PBE relaxed
# Mass density ... 7.1 g/cm³
# N(E_F) ... 3.2 states/eV/cell
# Spin magnetization ... 0.000 μB per atom
data_YZrI2
_symmetry_space_group_name_H-M 'P 1'
_symmetry_Int_Tables_number 1
_symmetry_space_group_name_Hall 'P 1'
_cell_length_a 5.235
_cell_length_b 5.235
_cell_length_c 5.235
_cell_angle_alpha 60.00
_cell_angle_beta 60.00
_cell_angle_gamma 60.00
loop_
_atom_site_label
_atom_site_type_symbol
_atom_site_fract_x
_atom_site_fract_y
_atom_site_fract_z
Y1 Y 0.000 0.000 0.000
Zr1 Zr 0.500 0.500 0.500
I1 I 0.250 0.250 0.250
I2 I 0.750 0.750 0.750

---

Most stable structure, least stable structure: B, A.